No. 1
The following is a PBE calculation of a geometry-optimized PuCrS3 structure, from Alexandria.

Fermi-level density of states: 30.83 states/eV per cell
Calculated density: 6.7 g cm⁻³
Magnetization: 8.00 μB per formula unit
Uncorrected formation energy: -1.11 eV per atom

Lattice parameters (Å, degrees): 7.6613 5.8631 8.7531 90.00 98.65 90.00
Last column: nearest neighbours and their distance in Å.
Space group P2_1/c (No. 14)
One atom of each set of equivalent atoms:
1 Pu 0.1478 0.2222 0.1683 (multiplicity 4)  6 S 2.68-2.94
2 Cr 0.4060 0.7440 0.5753 (multiplicity 4)  6 S 2.34-2.49
3 S 0.0926 0.7114 0.1150 (multiplicity 4)  1 Cr 2.49
4 S 0.3139 0.0851 0.9355 (multiplicity 4)  2 Cr 2.34-2.35
5 S 0.4294 0.5698 0.8285 (multiplicity 4)  3 Cr 2.37-2.45

=====

No. 2
The following is a PBE calculation of a geometry-optimized PuCrS4 structure, from Alexandria.

Fermi-level density of states: 25.78 states/eV per cell
Calculated density: 6.0 g cm⁻³
Magnetization: 6.02 μB per formula unit
Uncorrected formation energy: -0.87 eV per atom

Lattice parameters (Å, degrees): 8.5890 12.7949 5.7670 90.00 131.81 90.00
Last column: nearest neighbours and their distance in Å.
Space group C2/c (No. 15)
One atom of each set of equivalent atoms:
1 Pu 0.0000 0.1324 0.2500 (multiplicity 4)  6 S 2.69-2.73
2 Cr 0.0000 0.4322 0.2500 (multiplicity 4)  6 S 2.31-2.41
3 S 0.1526 0.3037 0.6265 (multiplicity 8)  1 Cr 2.31
4 S 0.2380 0.4490 0.1650 (multiplicity 8)  2 Cr 2.39-2.41

=====

No. 3
The following is a PBE calculation of a geometry-optimized PuCrS2 structure, from Alexandria.

Fermi-level density of states: 29.90 states/eV per cell
Calculated density: 5.4 g cm⁻³
Magnetization: 0.09 μB per formula unit
Uncorrected formation energy: -0.76 eV per atom

Lattice parameters (Å, degrees): 4.1236 4.1236 22.4670 90.00 90.00 120.00
Last column: nearest neighbours and their distance in Å.
Space group R-3m (No. 166, hexagonal axes)
One atom of each set of equivalent atoms:
1 Pu 0.0000 0.0000 0.0000 (multiplicity 3)  6 S 2.76
2 Cr 0.0000 0.0000 0.5000 (multiplicity 3)  2 S 2.35
3 S 0.0000 0.0000 0.3954 (multiplicity 6)  1 Cr 2.35

=====

What is the calculated density in the third record?
5.4 g cm⁻³

=====

The highest Fermi-level density of states belongs to which entry?
PuCrS3